Entry from Alexandria via LeMat-Bulk: an optimized crystal structure of Sr2VF6 (PBE with a Hubbard U).

abc: 5.767 6.357 8.190
angles: 90.00 96.31 90.00
Each line ends with the local moment (μB).
Positions (direct):
1 Sr 0.961 0.408 0.757  0.00
2 Sr 0.539 0.908 0.743  0.00
3 Sr 0.461 0.092 0.257  0.00
4 Sr 0.039 0.592 0.243  0.00
5 V 0.500 0.500 0.000  2.74
6 V 0.000 0.000 0.500  2.74
7 F 0.844 0.929 0.265  0.01
8 F 0.848 0.723 0.588  0.01
9 F 0.801 0.662 0.946  0.01
10 F 0.699 0.162 0.554  0.01
11 F 0.652 0.223 0.912  0.01
12 F 0.656 0.429 0.235  0.01
13 F 0.156 0.071 0.735  0.01
14 F 0.152 0.277 0.412  0.01
15 F 0.199 0.338 0.054  0.01
16 F 0.301 0.838 0.446  0.01
17 F 0.348 0.777 0.088  0.01
18 F 0.344 0.571 0.765  0.01

Values from the calculation:
The calculation puts the total energy at -106.4 eV per cell. As for the total moment: 3.00 μB per formula unit. The density of states at the Fermi level is 0.00 states/eV per cell.